VASP calculation (GGA-PBE) on an optimized crystal structure of Ca2LaTe.

```
4
Lattice="-3.0182 -6.0330 2.3551 3.3796 -6.2899 -0.2618 -0.0691 6.7436 2.3607" Properties=species:S:1:pos:R:3 pbc="T T T"
Ca 0.0158 -0.5387 0.0915
Ca 0.1649 -5.6227 0.9552
Te 1.7456 -2.8539 1.5728
La -1.4533 -2.7254 2.8813
```

Values from the calculation:
* total magnetic moment: 0.020 μB/f.u.
* raw formation energy: -247.6 kJ/mol of formula units
* total energy: -3.66 eV/atom


VASP calculation (GGA-PBE) on an optimized crystal structure of Pu4GePt2Au.

```
8
Lattice="5.0204 0.0000 0.0000 2.5102 4.3478 0.0000 2.5102 1.4493 8.2563" Properties=species:S:1:pos:R:3 pbc="T T T"
Pu 5.0204 2.8985 7.1241
Pu 7.5305 4.3478 3.2062
Pu 2.5102 1.4493 5.0501
Pu 5.0204 2.8985 1.1322
Ge 5.0204 2.8985 4.1282
Pt 7.5305 4.3478 6.3347
Pt 2.5102 1.4493 1.9216
Au 0.0000 0.0000 0.0000
```

Values from the calculation:
* total magnetic moment: 21.793 μB/f.u.
* energy of formation: -0.55 eV per atom
* total energy: -10.21 eV/atom


VASP calculation (GGA-PBE) on an optimized crystal structure of CdTcAs2.

```
4
Lattice="2.9408 -0.0036 0.0000 -1.3812 2.5963 0.0000 0.0000 0.0000 10.6303" Properties=species:S:1:pos:R:3 pbc="T T T"
As 0.0000 0.0000 9.9997
As 0.0000 0.0000 5.9458
Tc 0.7798 1.2963 7.9727
Cd 0.7798 1.2963 2.6576
```

Values from the calculation:
* total magnetic moment: 0.002 μB/f.u.
* energy of formation: 0.17 eV per atom
* total energy: -4.97 eV/atom


VASP calculation (GGA-PBE) on an optimized crystal structure of KCuMo2.

```
4
Lattice="3.4474 0.0000 0.0000 0.0000 3.4474 0.0000 0.0000 0.0000 7.8625" Properties=species:S:1:pos:R:3 pbc="T T T"
Cu 1.7237 1.7237 1.9656
K 1.7237 1.7237 5.8969
Mo 0.0000 0.0000 0.9020
Mo 0.0000 0.0000 3.0292
```

Values from the calculation:
* energy above the lowest structure with this stoichiometry: 0.2980 eV/atom
* total magnetic moment: 0.001 μB/f.u.
* energy of formation: 0.98 eV per atom
* total energy: -5.73 eV/atom


VASP calculation (GGA-PBE) on an optimized crystal structure of Mg2CdInH.

```
5
Lattice="4.4756 0.0000 0.0000 0.0000 4.4756 0.0000 0.0000 0.0000 4.5859" Properties=species:S:1:pos:R:3 pbc="T T T"
H 0.0000 0.0000 0.0000
Mg 0.0000 2.2378 0.0000
Mg 2.2378 0.0000 0.0000
Cd 0.0000 0.0000 2.2930
In 2.2378 2.2378 2.2930
```

Values from the calculation:
* energy above the lowest structure with this stoichiometry: 0.0000 eV/atom
* total magnetic moment: 0.000 μB/f.u.
* total energy: -2.00 eV/atom


VASP calculation (GGA-PBE) on an optimized crystal structure of Sr2EuHg.

```
4
Lattice="4.0212 0.0000 0.0000 0.0000 4.0212 0.0000 0.0000 0.0000 10.1115" Properties=species:S:1:pos:R:3 pbc="T T T"
Eu 2.0106 2.0106 5.0558
Sr 0.0000 0.0000 8.1859
Sr 0.0000 0.0000 1.9256
Hg 2.0106 2.0106 0.0000
```

Values from the calculation:
* energy above the lowest structure with this stoichiometry: 0.0000 eV/atom
* total magnetic moment: 8.109 μB/f.u.
* energy of formation: -0.25 eV per atom
* total energy: -3.74 eV/atom


VASP calculation (GGA-PBE) on an optimized crystal structure of IrAuSe2.

```
4
Lattice="-3.5613 0.8877 0.5125 1.8860 -1.7204 2.6865 1.9759 6.3721 2.6935" Properties=species:S:1:pos:R:3 pbc="T T T"
Ir 1.9470 6.2788 2.6540
Au 0.9996 2.1463 3.2288
Se 1.6825 4.3483 4.1596
Se -1.3834 1.1863 1.7309
```

Values from the calculation:
* total magnetic moment: 0.000 μB/f.u.
* raw formation energy: -10.8 kJ/mol of formula units
* total energy: -4.80 eV/atom


VASP calculation (GGA-PBE) on an optimized crystal structure of KBeBi.

```
12
Lattice="5.6975 0.0000 0.0000 0.0000 4.9149 0.0000 0.0000 0.0000 15.5763" Properties=species:S:1:pos:R:3 pbc="T T T"
Be 2.8490 1.0292 3.8771
Be 2.8485 3.4866 3.9111
Be 0.0002 1.4283 11.6992
Be 5.6973 3.8858 11.6652
K 2.8440 0.2251 13.7073
K 2.8535 2.6825 9.6571
K 5.6927 2.2324 1.8690
K 0.0048 4.6899 5.9192
Bi 2.8426 4.6784 1.8236
Bi 2.8549 2.2209 5.9646
Bi 5.6914 2.6940 13.7527
Bi 0.0061 0.2366 9.6117
```

Values from the calculation:
* total magnetic moment: 0.000 μB/f.u.
* energy of formation: 0.07 eV per atom
* total energy: -2.84 eV/atom


VASP calculation (GGA-PBE) on an optimized crystal structure of NaTlGa2Ni.

```
5
Lattice="4.6540 0.0000 0.0000 0.0000 4.6540 0.0000 0.0000 0.0000 5.1816" Properties=species:S:1:pos:R:3 pbc="T T T"
Ni 0.0000 0.0000 0.0000
Tl 0.0000 0.0000 2.5908
Ga 0.0000 2.3270 0.0000
Ga 2.3270 0.0000 0.0000
Na 2.3270 2.3270 2.5908
```

Values from the calculation:
* energy above the lowest structure with this stoichiometry: 0.0000 eV/atom
* total magnetic moment: 0.000 μB/f.u.
* energy of formation: -0.06 eV per atom
* total energy: -3.16 eV/atom


VASP calculation (GGA-PBE) on an optimized crystal structure of CsLiNpBr6.

```
18
Lattice="-2.2619 6.3858 -2.5581 -3.8735 -5.9856 -1.2675 -8.4320 2.5367 13.7882" Properties=species:S:1:pos:R:3 pbc="T T T"
Cs 0.0000 0.0000 0.0000
Cs -4.2160 1.2684 6.8941
Li -4.9071 2.8962 1.3192
Li -9.6603 0.0407 8.6434
Np -5.4443 -1.2276 1.7493
Np -9.1230 4.1645 8.2133
Br -5.1420 0.6275 -0.3031
Br -2.7304 -1.8313 1.6240
Br -6.3491 4.0222 8.0398
Br -11.8369 4.7682 8.3386
Br -5.2120 1.0201 3.3738
Br -5.3733 -2.8744 3.9917
Br -8.5777 6.1592 10.0758
Br -8.2182 -1.0853 1.9228
Br -9.1940 5.8113 5.9709
Br -5.9896 -3.2223 -0.1132
Br -9.3553 1.9168 6.5888
Br -9.4253 2.3095 10.2657
```

Values from the calculation:
* total magnetic moment: 3.000 μB/f.u.
* raw formation energy: -1269.8 kJ/mol of formula units
* total energy: -4.32 eV/atom


VASP calculation (GGA-PBE) on an optimized crystal structure of Pr5ZnCd4.

```
10
Lattice="3.8222 0.0000 0.0000 0.0000 3.8222 0.0000 0.0000 0.0000 19.5033" Properties=species:S:1:pos:R:3 pbc="T T T"
Pr 1.9111 1.9111 1.7442
Pr 1.9111 1.9111 5.7764
Pr 1.9111 1.9111 9.7516
Pr 1.9111 1.9111 13.7269
Pr 1.9111 1.9111 17.7591
Zn 0.0000 0.0000 0.0000
Cd 0.0000 0.0000 3.7758
Cd 0.0000 0.0000 7.7665
Cd 0.0000 0.0000 11.7368
Cd 0.0000 0.0000 15.7275
```

Values from the calculation:
* total magnetic moment: 0.299 μB/f.u.
* energy of formation: -0.31 eV per atom
* total energy: -3.20 eV/atom


VASP calculation (GGA-PBE) on an optimized crystal structure of NaAc2OsO8.

```
12
Lattice="-0.9468 3.7485 1.9499 -2.1986 -2.8795 4.1019 6.3763 -0.0794 3.7536" Properties=species:S:1:pos:R:3 pbc="T T T"
Na 3.1881 -0.0397 1.8768
Ac 3.3921 -0.3621 5.5162
Ac -0.1613 1.1517 4.2892
Os 0.0000 0.0000 0.0000
O -1.1426 -1.3668 4.1697
O 3.6600 0.7036 7.9623
O 0.6043 2.7464 2.3941
O 4.3735 2.1564 5.6357
O -0.4292 0.0860 1.8431
O 2.6265 -1.9568 7.4113
O 1.4880 1.2164 6.1694
O 1.7428 -0.4268 3.6359
```

Values from the calculation:
* total magnetic moment: 1.029 μB/f.u.
* raw formation energy: -2255.4 kJ/mol of formula units
* total energy: -6.98 eV/atom